(1)
The following is a DFT calculation (PBE) of NaPm2Y3Se6 after structural relaxation. Values from VASP.

Properties
Symmetry   C2/m, No. 12
Crystal system   monoclinic
D(E_F)   3.669 states/eV/f.u.
Size of the total moment   0.0 μB/f.u.
ΔE_f (raw)   -41.09 kcal/mol of atoms
Energy   -72.50 eV for the cell shown

The structure in Quantum ESPRESSO input format:
```
&SYSTEM
  ibrav = 0, nat = 12, ntyp = 4
/
ATOMIC_SPECIES
Na 22.99 Na.upf
Pm 145.00 Pm.upf
Y 88.91 Y.upf
Se 78.96 Se.upf
CELL_PARAMETERS angstrom
9.060 -2.059 0.000
9.060 2.059 0.000
-1.967 0.000 8.103
ATOMIC_POSITIONS angstrom
Na 0.000 0.000 0.000
Pm 4.682 0.000 5.323
Pm 11.471 0.000 2.780
Y -0.983 0.000 4.051
Y 5.714 0.000 1.399
Y 10.439 0.000 6.704
Se 1.782 0.000 4.778
Se 2.895 0.000 0.625
Se 8.547 0.000 2.061
Se 7.606 0.000 6.041
Se 13.258 0.000 7.478
Se 14.372 0.000 3.324
```


(2)
The following is a DFT calculation (PBE) of Na3PmY2Se6 after structural relaxation. Values from VASP.

Properties
Symmetry   C2/m, No. 12
Crystal system   monoclinic
D(E_F)   0.000 states/eV/f.u.
Size of the total moment   0.0 μB/f.u.
ΔE_f (raw)   -39.36 kcal/mol of atoms
Energy   -63.02 eV for the cell shown

The structure in Quantum ESPRESSO input format:
```
&SYSTEM
  ibrav = 0, nat = 12, ntyp = 4
/
ATOMIC_SPECIES
Na 22.99 Na.upf
Pm 145.00 Pm.upf
Y 88.91 Y.upf
Se 78.96 Se.upf
CELL_PARAMETERS angstrom
3.624 -6.277 0.000
3.624 6.277 0.000
-2.417 0.000 7.012
ATOMIC_POSITIONS angstrom
Na 0.000 0.000 0.000
Na 3.624 2.082 0.000
Na 3.624 -2.082 0.000
Pm 2.415 0.000 3.506
Y 2.415 4.183 3.506
Y 2.415 -4.183 3.506
Se 1.186 2.129 1.884
Se -0.044 0.000 5.131
Se 1.186 -2.129 1.884
Se 3.645 2.129 5.128
Se 4.874 0.000 1.880
Se 3.645 -2.129 5.128
```


(3)
The following is a DFT calculation (PBE) of Na2PmY3Se6 after structural relaxation. Values from VASP.

Properties
Symmetry   C2/m, No. 12
Crystal system   monoclinic
D(E_F)   3.252 states/eV/f.u.
Size of the total moment   0.0 μB/f.u.
ΔE_f (raw)   -40.08 kcal/mol of atoms
Energy   -68.54 eV for the cell shown

The structure in Quantum ESPRESSO input format:
```
&SYSTEM
  ibrav = 0, nat = 12, ntyp = 4
/
ATOMIC_SPECIES
Na 22.99 Na.upf
Pm 145.00 Pm.upf
Y 88.91 Y.upf
Se 78.96 Se.upf
CELL_PARAMETERS angstrom
3.576 -6.188 0.000
3.576 6.188 0.000
-2.381 0.000 6.850
ATOMIC_POSITIONS angstrom
Na 3.576 4.131 0.000
Na 3.576 -4.131 0.000
Pm 3.576 0.000 0.000
Y -1.190 0.000 3.425
Y 2.386 2.079 3.425
Y 2.386 -2.079 3.425
Se 0.003 2.062 5.086
Se 1.198 0.000 1.783
Se 0.003 -2.062 5.086
Se 4.768 2.062 1.764
Se 3.574 0.000 5.067
Se 4.768 -2.062 1.764
```